A plane-wave DFT calculation with PBE-GGA was carried out for a relaxed Ho4BClO7 crystal.

Unit cell a=8.5996 b=8.0174 c=12.2097 alpha=90.00 beta=119.02 gamma=90.00
Space group P2_1/c (No. 14)
Unique sites:
Ho 0.0674 0.1382 0.4175 [4 per cell]
Ho 0.0726 0.6169 0.4076 [4 per cell]
Ho 0.2963 0.1252 0.7778 [4 per cell]
Ho 0.3163 0.6160 0.7769 [4 per cell]
B 0.3705 0.1305 0.0865 [4 per cell]
Cl 0.3738 0.6491 0.0258 [4 per cell]
O 0.0435 0.1232 0.5973 [4 per cell]
O 0.0749 0.6217 0.5929 [4 per cell]
O 0.1803 0.1173 0.2814 [4 per cell]
O 0.1871 0.6357 0.2720 [4 per cell]
O 0.2717 0.1127 0.9576 [4 per cell]
O 0.3921 0.2121 0.6377 [4 per cell]
O 0.4378 0.5061 0.6638 [4 per cell]

Values from the calculation:
raw formation energy: -3.32 eV per atom
M_tot: 0.00 μB per cell